CeHo6Tl5 | PBE | relaxed

Results
DFT formation energy	-161	meV/atom

Cell and atoms, written as POSCAR:
```
CeHo6Tl5
1.0
-0.170 -3.326 5.217
6.064 -8.189 -2.235
7.460 -1.335 0.786
Ho Tl Ce
6 5 1
Cartesian
1.593 -2.991 0.630 Ho
3.047 -3.700 3.930 Ho
4.301 -8.524 2.352 Ho
10.308 -9.150 -0.163 Ho
5.938 -5.890 0.379 Ho
7.417 -6.961 3.388 Ho
7.271 -9.047 0.928 Tl
2.947 -5.758 1.491 Tl
6.083 -3.803 2.839 Tl
4.719 -3.043 -0.393 Tl
8.806 -6.481 -1.057 Tl
0.000 0.000 0.000 Ce
```